VASP calculation (PBE) on SrEr4S6 after structural relaxation.

Cell lengths 3.908, 12.838, 20.054 Å; angles 90.00, 90.00, 90.00 degrees
Space group Cmcm (No. 63)
Asymmetric unit:
Sr 0.000 0.157 0.250
Er 0.000 0.095 0.628
Er 0.000 0.363 0.540
S 0.000 0.000 0.000
S 0.000 0.174 0.750
S 0.000 0.269 0.085
S 0.000 0.458 0.660

Output
**ΔE_f (raw)**: -2062 meV/atom
**Calculated volume**: 22.9 Å³/atom
**Mass density**: 6.3 g cm⁻³

---

VASP calculation (PBE) on Sr3Er4S8 after structural relaxation.

Cell lengths 11.388, 11.423, 7.975 Å; angles 90.00, 134.08, 90.00 degrees
Space group C2/m (No. 12)
Asymmetric unit:
Sr 0.000 0.000 0.000
Sr 0.250 0.250 0.000
Er 0.000 0.500 0.000
Er 0.000 0.500 0.500
Er 0.250 0.250 0.500
S 0.000 0.258 0.000
S 0.000 0.259 0.500
S 0.225 0.500 0.973
S 0.235 0.500 0.483

Output
**ΔE_f (raw)**: -2022 meV/atom
**Calculated volume**: 24.8 Å³/atom
**Mass density**: 5.3 g cm⁻³

---

VASP calculation (PBE) on Sr3TbEr3S8 after structural relaxation.

Cell lengths 7.9562, 7.9562, 20.5160 Å; angles 90.00, 90.00, 120.00 degrees
Space group R-3m (No. 166, hexagonal axes)
Asymmetric unit:
Sr 0.0000 0.5000 0.0000
Tb 0.0000 0.0000 0.5000
Er 0.0000 0.5000 0.5000
S 0.0000 0.0000 0.2420
S 0.0028 0.5014 0.7590

Output
**ΔE_f (raw)**: -2077 meV/atom
**Calculated volume**: 25.0 Å³/atom
**Mass density**: 5.2 g cm⁻³

---

VASP calculation (PBE) on SrTb2ErS4 after structural relaxation.

Cell lengths 6.910, 3.962, 6.912 Å; angles 90.00, 109.07, 90.00 degrees
Space group P2/m (No. 10)
Asymmetric unit:
Sr 0.000 0.000 0.000
Tb 0.000 0.500 0.500
Tb 0.500 0.000 0.500
Er 0.500 0.500 0.000
S 0.259 0.000 0.749
S 0.264 0.500 0.259

Output
**ΔE_f (raw)**: -1985 meV/atom
**Calculated volume**: 22.4 Å³/atom
**Mass density**: 6.5 g cm⁻³

---

VASP calculation (PBE) on SrTb4ErS8 after structural relaxation.

Cell lengths 8.1854, 8.1854, 19.9638 Å; angles 90.00, 90.00, 120.00 degrees
Space group R3m (No. 160, hexagonal axes)
Asymmetric unit:
Sr 0.0000 0.0000 0.0000
Tb 0.0000 0.0000 0.2494
Tb 0.1691 0.3382 0.4573
Er 0.0000 0.0000 0.6266
S 0.0000 0.0000 0.3820
S 0.0000 0.0000 0.8608
S 0.0390 0.5195 0.3781
S 0.1780 0.3560 0.2065

Output
**ΔE_f (raw)**: -1994 meV/atom
**Calculated volume**: 27.6 Å³/atom
**Mass density**: 4.9 g cm⁻³

---

VASP calculation (PBE) on Sr2TbErS4 after structural relaxation.

Cell lengths 6.974, 4.032, 7.157 Å; angles 90.00, 109.00, 90.00 degrees
Space group P2/m (No. 10)
Asymmetric unit:
Sr 0.000 0.000 0.000
Sr 0.500 0.500 0.000
Tb 0.000 0.500 0.500
Er 0.500 0.000 0.500
S 0.246 0.000 0.729
S 0.260 0.500 0.273

Output
**ΔE_f (raw)**: -2032 meV/atom
**Calculated volume**: 23.8 Å³/atom
**Mass density**: 5.5 g cm⁻³

---

Record-wise DOS at the Fermi energy values, in states/eV per cell: 12.26 7.85 13.63 2.62 10.52 3.52